[1]
# Sm2ZrS5

Crystalline Sm2ZrS5 at its relaxed geometry (PBE-GGA, Alexandria).

Cell lengths 5.259, 13.507, 12.962 Å; angles 90.00, 90.00, 90.00 degrees
Space group Cmcm (No. 63)
Symmetry-distinct sites (fractional):
1 Sm 0.000 0.144 0.063 (multiplicity 8)
2 Zr 0.000 0.188 0.750 (multiplicity 4)
3 S 0.000 0.049 0.624 (multiplicity 8)
4 S 0.000 0.266 0.250 (multiplicity 4)
5 S 0.000 0.303 0.585 (multiplicity 8)

The value obtained for the energy relative to the elements, uncorrected is -1790 meV per atom. For the offset from the most stable computed form, the calculation gives 0.101 eV per atom. Its density of states at the Fermi level is 0.00 states/eV per cell.


[2]
# Sm2ZrS4

Crystalline Sm2ZrS4 at its relaxed geometry (PBE-GGA, Alexandria).

Cell lengths 13.817, 3.950, 7.148 Å; angles 90.00, 119.19, 90.00 degrees
Space group C2/m (No. 12)
Symmetry-distinct sites (fractional):
1 Sm 0.225 0.000 0.215 (multiplicity 4)
2 Zr 0.000 0.500 0.500 (multiplicity 2)
3 S 0.113 0.500 0.916 (multiplicity 4)
4 S 0.130 0.000 0.494 (multiplicity 4)

The value obtained for the energy relative to the elements, uncorrected is -1803 meV per atom. Its density of states at the Fermi level is 1.92 states/eV per cell.


[3]
# Sm2ZrS5

Crystalline Sm2ZrS5 at its relaxed geometry (PBE-GGA, Alexandria).

Cell lengths 11.672, 7.911, 7.357 Å; angles 90.00, 90.00, 90.00 degrees
Space group Pnma (No. 62)
Symmetry-distinct sites (fractional):
1 Sm 0.178 0.002 0.027 (multiplicity 8)
2 Zr 0.008 0.750 0.577 (multiplicity 4)
3 S 0.004 0.750 0.946 (multiplicity 4)
4 S 0.090 0.037 0.662 (multiplicity 8)
5 S 0.183 0.750 0.336 (multiplicity 4)
6 S 0.207 0.250 0.314 (multiplicity 4)

The value obtained for the energy relative to the elements, uncorrected is -1892 meV per atom. For the offset from the most stable computed form, the calculation gives 0.000 eV per atom.


[4]
# SmZrS2

Crystalline SmZrS2 at its relaxed geometry (PBE-GGA, Alexandria).

Cell lengths 3.7655, 3.7655, 20.0189 Å; angles 90.00, 90.00, 120.00 degrees
Space group R3m (No. 160, hexagonal axes)
Symmetry-distinct sites (fractional):
1 Sm 0.0000 0.0000 0.0000 (multiplicity 3)
2 Zr 0.0000 0.0000 0.1770 (multiplicity 3)
3 S 0.0000 0.0000 0.5819 (multiplicity 3)
4 S 0.0000 0.0000 0.7629 (multiplicity 3)

The value obtained for the energy relative to the elements, uncorrected is -1651 meV per atom. For the offset from the most stable computed form, the calculation gives 0.027 eV per atom. Its density of states at the Fermi level is 8.67 states/eV per cell.


[5]
# SmZr2S6

Crystalline SmZr2S6 at its relaxed geometry (PBE-GGA, Alexandria).

Cell lengths 12.583, 5.136, 8.851 Å; angles 90.00, 128.84, 90.00 degrees
Space group C2/m (No. 12)
Symmetry-distinct sites (fractional):
1 Sm 0.000 0.000 0.000 (multiplicity 2)
2 Zr 0.171 0.000 0.582 (multiplicity 4)
3 S 0.062 0.000 0.740 (multiplicity 4)
4 S 0.118 0.500 0.058 (multiplicity 4)
5 S 0.226 0.500 0.606 (multiplicity 4)

The value obtained for the energy relative to the elements, uncorrected is -1427 meV per atom. Its density of states at the Fermi level is 3.42 states/eV per cell.


[6]
# SmZrS2

Crystalline SmZrS2 at its relaxed geometry (PBE-GGA, Alexandria).

Cell lengths 3.8601, 3.8601, 18.8006 Å; angles 90.00, 90.00, 120.00 degrees
Space group R-3m (No. 166, hexagonal axes)
Symmetry-distinct sites (fractional):
1 Sm 0.0000 0.0000 0.0000 (multiplicity 3)
2 Zr 0.0000 0.0000 0.5000 (multiplicity 3)
3 S 0.0000 0.0000 0.2435 (multiplicity 6)

The value obtained for the energy relative to the elements, uncorrected is -1678 meV per atom. For the offset from the most stable computed form, the calculation gives 0.000 eV per atom. Its density of states at the Fermi level is 5.12 states/eV per cell.


[7]
# SmZr2S4

Crystalline SmZr2S4 at its relaxed geometry (PBE-GGA, Alexandria).

Cell lengths 3.683, 12.043, 13.160 Å; angles 90.00, 90.00, 90.00 degrees
Space group Cmcm (No. 63)
Symmetry-distinct sites (fractional):
1 Sm 0.000 0.111 0.250 (multiplicity 4)
2 Zr 0.000 0.356 0.059 (multiplicity 8)
3 S 0.000 0.000 0.000 (multiplicity 4)
4 S 0.000 0.280 0.624 (multiplicity 8)
5 S 0.000 0.440 0.250 (multiplicity 4)

The value obtained for the energy relative to the elements, uncorrected is -1663 meV per atom. Its density of states at the Fermi level is 16.52 states/eV per cell.


[8]
# Sn3S4

Crystalline Sn3S4 at its relaxed geometry (PBE-GGA, Alexandria).

Cell lengths 3.9507, 3.9507, 38.7404 Å; angles 90.00, 90.00, 120.00 degrees
Space group R-3m (No. 166, hexagonal axes)
Symmetry-distinct sites (fractional):
1 Sn 0.0000 0.0000 0.0000 (multiplicity 3)
2 Sn 0.0000 0.0000 0.2430 (multiplicity 6)
3 S 0.0000 0.0000 0.1251 (multiplicity 6)
4 S 0.0000 0.0000 0.3744 (multiplicity 6)

The value obtained for the energy relative to the elements, uncorrected is -346 meV per atom. Its density of states at the Fermi level is 9.13 states/eV per cell.


[9]
# Sn6S5

Crystalline Sn6S5 at its relaxed geometry (PBE-GGA, Alexandria).

Cell lengths 7.002, 12.667, 6.714 Å; angles 90.00, 112.33, 90.00 degrees
Space group C2/m (No. 12)
Symmetry-distinct sites (fractional):
1 Sn 0.221 0.152 0.238 (multiplicity 8)
2 Sn 0.234 0.000 0.746 (multiplicity 4)
3 S 0.000 0.213 0.500 (multiplicity 4)
4 S 0.000 0.353 0.000 (multiplicity 4)
5 S 0.000 0.500 0.500 (multiplicity 2)

The value obtained for the energy relative to the elements, uncorrected is -291 meV per atom. Its density of states at the Fermi level is 5.61 states/eV per cell.


[10]
# Sn3S4

Crystalline Sn3S4 at its relaxed geometry (PBE-GGA, Alexandria).

Cell lengths 15.065, 3.839, 6.848 Å; angles 90.00, 113.34, 90.00 degrees
Space group C2/m (No. 12)
Symmetry-distinct sites (fractional):
1 Sn 0.000 0.000 0.000 (multiplicity 2)
2 Sn 0.237 0.500 0.744 (multiplicity 4)
3 S 0.099 0.500 0.254 (multiplicity 4)
4 S 0.138 0.000 0.838 (multiplicity 4)

The value obtained for the energy relative to the elements, uncorrected is -347 meV per atom. Its density of states at the Fermi level is 0.94 states/eV per cell.


[11]
# Sn3S

Crystalline Sn3S at its relaxed geometry (PBE-GGA, Alexandria).

Cell lengths 7.303, 7.303, 7.303 Å; angles 90.00, 90.00, 90.00 degrees
Space group Fm-3m (No. 225)
Symmetry-distinct sites (fractional):
1 Sn 0.000 0.000 0.000 (multiplicity 4)
2 Sn 0.250 0.250 0.250 (multiplicity 8)
3 S 0.000 0.000 0.500 (multiplicity 4)

The value obtained for the energy relative to the elements, uncorrected is 99 meV per atom. Its density of states at the Fermi level is 11.79 states/eV per cell.


[12]
# Sn3S

Crystalline Sn3S at its relaxed geometry (PBE-GGA, Alexandria).

Cell lengths 3.612, 5.365, 10.341 Å; angles 90.00, 90.00, 90.00 degrees
Space group Immm (No. 71)
Symmetry-distinct sites (fractional):
1 Sn 0.000 0.000 0.000 (multiplicity 2)
2 Sn 0.000 0.500 0.216 (multiplicity 4)
3 S 0.000 0.000 0.500 (multiplicity 2)

The value obtained for the energy relative to the elements, uncorrected is -14 meV per atom. Its density of states at the Fermi level is 3.53 states/eV per cell.


The following magnetic moment values (in Bohr magnetons per cell) correspond, in order, to the records above: 0.0 0.0 0.0 0.0 0.0 0.0 0.0 0.0 0.0 0.0 0.0 0.0.
The following density values (in Mg/m³) correspond, in order, to the records above: 3.98 5.07 5.40 6.20 3.91 6.28 5.25 4.61 5.26 4.42 6.62 6.43.